1.
DFT (PBEsol) results for a geometry-optimized TiPRhO2 structure.

abc: 3.640 3.640 5.301
angles: 90.00 90.00 90.00
Sites, in units of the cell vectors:
1 Ti 0.000 0.000 0.000
2 P 0.000 0.000 0.500
3 Rh 0.500 0.500 0.500
4 O 0.000 0.500 0.000
5 O 0.500 0.000 0.000

2.
DFT (PBEsol) results for a geometry-optimized TiP2RhO structure.

abc: 4.744 4.744 3.551
angles: 90.00 90.00 90.00
Sites, in units of the cell vectors:
1 Ti 0.000 0.000 0.000
2 P 0.000 0.500 0.000
3 P 0.500 0.000 0.000
4 Rh 0.500 0.500 0.500
5 O 0.000 0.000 0.500

3.
DFT (PBEsol) results for a geometry-optimized P3RuO9 structure.

abc: 6.322 15.374 8.405
angles: 90.00 106.43 90.00
Sites, in units of the cell vectors:
1 P 0.090 0.114 0.295
2 P 0.090 0.386 0.795
3 P 0.294 0.660 0.485
4 P 0.294 0.840 0.985
5 P 0.351 0.544 0.781
6 P 0.351 0.956 0.281
7 P 0.649 0.044 0.719
8 P 0.649 0.456 0.219
9 P 0.706 0.160 0.015
10 P 0.706 0.340 0.515
11 P 0.910 0.614 0.205
12 P 0.910 0.886 0.705
13 Ru 0.381 0.637 0.124
14 Ru 0.381 0.863 0.624
15 Ru 0.619 0.137 0.376
16 Ru 0.619 0.363 0.876
17 O 0.038 0.652 0.384
18 O 0.038 0.848 0.884
19 O 0.059 0.613 0.094
20 O 0.059 0.887 0.594
21 O 0.136 0.016 0.250
22 O 0.136 0.484 0.750
23 O 0.301 0.163 0.358
24 O 0.301 0.337 0.858
25 O 0.318 0.735 0.599
26 O 0.318 0.765 0.099
27 O 0.325 0.624 0.877
28 O 0.325 0.876 0.377
29 O 0.332 0.573 0.595
30 O 0.332 0.927 0.095
31 O 0.439 0.651 0.372
32 O 0.439 0.849 0.872
33 O 0.441 0.508 0.156
34 O 0.441 0.992 0.656
35 O 0.559 0.008 0.344
36 O 0.559 0.492 0.844
37 O 0.561 0.151 0.128
38 O 0.561 0.349 0.628
39 O 0.668 0.073 0.905
40 O 0.668 0.427 0.405
41 O 0.675 0.124 0.623
42 O 0.675 0.376 0.123
43 O 0.682 0.235 0.901
44 O 0.682 0.265 0.401
45 O 0.699 0.663 0.142
46 O 0.699 0.837 0.642
47 O 0.864 0.516 0.250
48 O 0.864 0.984 0.750
49 O 0.941 0.113 0.406
50 O 0.941 0.387 0.906
51 O 0.962 0.152 0.116
52 O 0.962 0.348 0.616

Energy above the lowest structure with this stoichiometry: 0.005 eV per atom

4.
DFT (PBEsol) results for a geometry-optimized P3RuO9 structure.

abc: 5.091 7.087 10.319
angles: 98.20 92.21 92.11
Sites, in units of the cell vectors:
1 P 0.001 0.341 0.142
2 P 0.022 0.952 0.678
3 P 0.263 0.694 0.269
4 P 0.737 0.306 0.731
5 P 0.978 0.048 0.322
6 P 0.999 0.659 0.858
7 Ru 0.500 0.000 0.500
8 Ru 0.500 0.500 0.000
9 O 0.018 0.830 0.265
10 O 0.043 0.144 0.195
11 O 0.117 0.490 0.265
12 O 0.166 0.344 0.025
13 O 0.172 0.119 0.433
14 O 0.292 0.637 0.875
15 O 0.309 0.927 0.654
16 O 0.409 0.737 0.400
17 O 0.414 0.703 0.148
18 O 0.586 0.297 0.852
19 O 0.591 0.263 0.600
20 O 0.691 0.073 0.346
21 O 0.708 0.363 0.125
22 O 0.828 0.881 0.567
23 O 0.834 0.656 0.975
24 O 0.883 0.510 0.735
25 O 0.957 0.856 0.805
26 O 0.982 0.170 0.735

Energy above the lowest structure with this stoichiometry: 0.000 eV per atom

5.
DFT (PBEsol) results for a geometry-optimized P3RuO9 structure.

abc: 7.341 7.341 9.417
angles: 122.17 122.17 52.62
Sites, in units of the cell vectors:
1 P 0.047 0.953 0.750
2 P 0.291 0.479 0.820
3 P 0.479 0.291 0.320
4 P 0.521 0.709 0.680
5 P 0.709 0.521 0.180
6 P 0.953 0.047 0.250
7 Ru 0.000 0.500 0.000
8 Ru 0.500 0.000 0.500
9 O 0.031 0.171 0.911
10 O 0.132 0.752 0.821
11 O 0.146 0.401 0.822
12 O 0.171 0.031 0.411
13 O 0.248 0.868 0.679
14 O 0.336 0.389 0.167
15 O 0.389 0.336 0.667
16 O 0.401 0.146 0.322
17 O 0.500 0.500 0.000
18 O 0.500 0.500 0.500
19 O 0.599 0.854 0.678
20 O 0.611 0.664 0.333
21 O 0.664 0.611 0.833
22 O 0.752 0.132 0.321
23 O 0.829 0.969 0.589
24 O 0.854 0.599 0.178
25 O 0.868 0.248 0.179
26 O 0.969 0.829 0.089

Energy above the lowest structure with this stoichiometry: 0.017 eV per atom

6.
DFT (PBEsol) results for a geometry-optimized PRuSO2 structure.

abc: 3.619 3.619 5.269
angles: 90.00 90.00 90.00
Sites, in units of the cell vectors:
1 P 0.000 0.000 0.000
2 Ru 0.000 0.000 0.500
3 S 0.500 0.500 0.000
4 O 0.000 0.500 0.500
5 O 0.500 0.000 0.500

Going through the records in order, we get ΔE_f (raw) values of -947 -176 -1821 -1826 -1808 -356 meV per atom.